one | # Mg5Pb3, optimized geometry, DFT PBE-GGA
# - crystal system = hexagonal
# - density of states at the Fermi level (states/eV per cell) = 5.66
data_Mg5Pb3
_chemical_formula_sum 'Mg10 Pb6'
_cell_length_a 8.918
_cell_length_b 8.918
_cell_length_c 5.942
_cell_angle_alpha 90.00
_cell_angle_beta 90.00
_cell_angle_gamma 120.00
_space_group_name_H-M_alt 'P 1'
_space_group_IT_number 1
loop_
_space_group_symop_operation_xyz
'x,y,z'
loop_
_atom_site_label
_atom_site_type_symbol
_atom_site_fract_x
_atom_site_fract_y
_atom_site_fract_z
Mg1 Mg 0.000 0.214 0.250
Mg2 Mg 0.000 0.786 0.750
Mg3 Mg 0.214 0.000 0.250
Mg4 Mg 0.214 0.214 0.750
Mg5 Mg 0.333 0.667 0.000
Mg6 Mg 0.333 0.667 0.500
Mg7 Mg 0.667 0.333 0.000
Mg8 Mg 0.667 0.333 0.500
Mg9 Mg 0.786 0.000 0.750
Mg10 Mg 0.786 0.786 0.250
Pb1 Pb 0.000 0.399 0.750
Pb2 Pb 0.000 0.601 0.250
Pb3 Pb 0.399 0.000 0.750
Pb4 Pb 0.399 0.399 0.250
Pb5 Pb 0.601 0.000 0.250
Pb6 Pb 0.601 0.601 0.750


two | # Mg5Pb3, optimized geometry, DFT PBE-GGA
# - crystal system = orthorhombic
# - density of states at the Fermi level (states/eV per cell) = 2.85
data_Mg5Pb3
_chemical_formula_sum 'Mg5 Pb3'
_cell_length_a 6.533
_cell_length_b 6.533
_cell_length_c 4.768
_cell_angle_alpha 90.00
_cell_angle_beta 90.00
_cell_angle_gamma 97.14
_space_group_name_H-M_alt 'P 1'
_space_group_IT_number 1
loop_
_space_group_symop_operation_xyz
'x,y,z'
loop_
_atom_site_label
_atom_site_type_symbol
_atom_site_fract_x
_atom_site_fract_y
_atom_site_fract_z
Mg1 Mg 0.000 0.000 0.000
Mg2 Mg 0.000 0.500 0.000
Mg3 Mg 0.270 0.270 0.500
Mg4 Mg 0.500 0.000 0.000
Mg5 Mg 0.730 0.730 0.500
Pb1 Pb 0.218 0.782 0.500
Pb2 Pb 0.500 0.500 0.000
Pb3 Pb 0.782 0.218 0.500


Most stable = two